No. 1
Na2GaTcH6: optimized geometry, GGA-PBE.

Unit cell a=5.145 b=5.145 c=5.151 alpha=119.94 beta=119.94 gamma=90.02
Positions (direct):
Na: 0.250 0.750 0.000
Na: 0.750 0.250 0.000
Ga: 0.000 0.000 0.500
Tc: 0.500 0.500 0.500
H: 0.252 0.748 0.500
H: 0.254 0.254 0.006
H: 0.254 0.254 0.503
H: 0.746 0.746 0.497
H: 0.746 0.746 0.994
H: 0.748 0.252 0.500

Output
**DOS(E_F)**: 0.559 states/eV per atom
**ρ**: 3.8 Mg/m³
**Space group**: C2/m, No. 12
**E**: -3.549 eV per atom

No. 2
Na2GaTeH: optimized geometry, GGA-PBE.

Unit cell a=4.723 b=4.723 c=4.724 alpha=90.00 beta=90.00 gamma=90.00
Positions (direct):
Na: 0.000 0.500 0.000
Na: 0.500 0.000 0.000
Ga: 0.000 0.000 0.500
Te: 0.500 0.500 0.500
H: 0.000 0.000 0.000

Output
**DOS(E_F)**: 0.025 states/eV per atom
**ρ**: 3.8 Mg/m³
**Space group**: P4/mmm, No. 123
**E**: -2.800 eV per atom

No. 3
NaTl2GaH: optimized geometry, GGA-PBE.

Unit cell a=5.123 b=5.123 c=4.235 alpha=90.00 beta=90.00 gamma=90.00
Positions (direct):
Na: 0.000 0.000 0.000
Tl: 0.000 0.500 0.500
Tl: 0.500 0.000 0.500
Ga: 0.500 0.500 0.000
H: 0.000 0.000 0.500

Output
**DOS(E_F)**: 0.347 states/eV per atom
**ρ**: 7.5 Mg/m³
**Space group**: P4/mmm, No. 123
**E**: -2.387 eV per atom

No. 4
Na2TlGaH: optimized geometry, GGA-PBE.

Unit cell a=5.974 b=5.974 c=3.957 alpha=90.00 beta=90.00 gamma=90.00
Positions (direct):
Na: 0.000 0.500 0.000
Na: 0.500 0.000 0.000
Tl: 0.000 0.000 0.000
Ga: 0.500 0.500 0.500
H: 0.000 0.000 0.500

Output
**DOS(E_F)**: 0.537 states/eV per atom
**ρ**: 3.8 Mg/m³
**Space group**: P4/mmm, No. 123
**Relative energy among the computed polymorphs**: 362 meV per atom

No. 5
Na2TlGaH: optimized geometry, GGA-PBE.

Unit cell a=4.716 b=4.716 c=4.566 alpha=90.00 beta=90.00 gamma=90.00
Positions (direct):
Na: 0.000 0.500 0.000
Na: 0.500 0.000 0.000
Tl: 0.000 0.000 0.500
Ga: 0.500 0.500 0.500
H: 0.500 0.500 0.000

Output
**DOS(E_F)**: 0.433 states/eV per atom
**ρ**: 5.3 Mg/m³
**Space group**: P4/mmm, No. 123
**Relative energy among the computed polymorphs**: 0 meV per atom

No. 6
NaZn2GaH: optimized geometry, GGA-PBE.

Unit cell a=4.193 b=4.193 c=4.322 alpha=90.00 beta=90.00 gamma=90.00
Positions (direct):
Na: 0.000 0.000 0.000
Zn: 0.000 0.500 0.500
Zn: 0.500 0.000 0.500
Ga: 0.500 0.500 0.000
H: 0.000 0.000 0.500

Output
**DOS(E_F)**: 0.301 states/eV per atom
**ρ**: 4.9 Mg/m³
**Space group**: P4/mmm, No. 123
**E**: -1.872 eV per atom